(1)
Crystalline Sr2Al3Zn at its relaxed geometry. Source: the Alexandria database, functional PBE.

Structure (POSCAR):
```
Sr2Al3Zn
1.0
5.5876 -2.3667 0.0000
5.5876 2.3667 0.0000
-5.5044 0.0000 5.6465
Sr Al Zn
2 3 1
Direct
0.0000 0.0000 0.0000 Sr
0.1051 0.1051 0.6084 Sr
0.3922 0.3922 0.2109 Al
0.7129 0.7129 0.0292 Al
0.7161 0.7161 0.3984 Al
0.3874 0.3874 0.5718 Zn
```

Output
- Magnetization: 0.0 Bohr magnetons per cell
- Excess energy over the best structure of this formula in the dataset: 0 meV/atom
- V: 24.890 Å³ per atom
- Space-group type: No. 8
- Energy of formation from the pure elements: -0.26 eV/atom

(2)
Crystalline HfBOs2Rh at its relaxed geometry. Source: the Alexandria database, functional PBE.

Structure (POSCAR):
```
HfBOs2Rh
1.0
4.0462 0.0000 0.0000
0.0000 4.0462 0.0000
0.0000 0.0000 4.4461
Hf B Os Rh
1 1 2 1
Direct
0.0000 0.0000 0.0000 Hf
0.0000 0.0000 0.5000 B
0.0000 0.5000 0.5000 Os
0.5000 0.0000 0.5000 Os
0.5000 0.5000 0.0000 Rh
```

Output
- Magnetization: 0.0 Bohr magnetons per cell
- Excess energy over the best structure of this formula in the dataset: 317 meV/atom
- V: 14.558 Å³ per atom
- Space-group type: No. 123
- Energy of formation from the pure elements: -0.15 eV/atom